Density functional theory data (PBE-GGA) for a relaxed Co2AgTe crystal.

electronic total energy: -0.3417 Ry/atom
total moment: 2.75 μB/cell
V: 15.40 Å³/atom
E_form (uncorrected): 0.402 eV per atom

Cell: 4.1854 4.1854 3.5173 Å, 90.00 90.00 90.00°
Closest atoms and distances in Å follow each position.
Space group P4/mmm (No. 123)
Unique sites:
Co 0.0000 0.5000 0.0000 (multiplicity 2)  4 Te 2.73, 4 Ag 2.73, 4 Co 2.96
Ag 0.0000 0.0000 0.5000 (multiplicity 1)  8 Co 2.73, 4 Te 2.96
Te 0.5000 0.5000 0.5000 (multiplicity 1)  8 Co 2.73, 4 Ag 2.96